# KIO2 PBE-GGA relaxed
data_KIO2
_cell_length_a 4.307
_cell_length_b 4.307
_cell_length_c 4.062
_cell_angle_alpha 90.00
_cell_angle_beta 90.00
_cell_angle_gamma 90.00
_symmetry_space_group_name_H-M 'P 1'
_symmetry_Int_Tables_number 1
loop_
_symmetry_equiv_pos_as_xyz
'x,y,z'
loop_
_atom_site_label
_atom_site_type_symbol
_atom_site_fract_x
_atom_site_fract_y
_atom_site_fract_z
K1 K 0.500 0.500 0.500
I1 I 0.000 0.000 0.000
O1 O 0.000 0.500 0.000
O2 O 0.500 0.000 0.000
# relative energy among the computed polymorphs = 0 meV/atom
# space-group type = P4/mmm
# raw formation energy = -2.87 eV/f.u.
# N(E_F) = 1.1 states/eV/f.u.